DFT (SCAN) results for a PBEsol-optimized structure of YTe2Pt.

uncorrected energy	-44.062	eV/atom
space group	No. 8
E above lowest polymorph	0.000	eV per atom
spin magnetization	0.000	μB/atom
calculated density	8494	kg/m³
formation energy from raw total energies	-0.93	eV per atom

The structure in POSCAR format:
```
YTe2Pt
1.0
3.9744 0.0000 0.0000
0.0000 4.8789 -0.0803
-1.9872 -0.2074 5.4397
Pt Te Y
1 2 1
direct
0.2082 0.6681 0.4164
0.0224 0.9777 0.0449
0.7708 0.3619 0.5416
0.4985 0.4923 0.9971
```